# 1
Below is a relaxed structure of ScTaNi6, with properties calculated at the PBE level.

Lattice parameters (Å, degrees): 6.3887 6.3887 10.4447 90.00 90.00 109.48
Sites, in units of the cell vectors:
Sc 0.0000 0.0000 0.2480
Sc 0.0000 0.0000 0.7520
Sc 0.2492 0.7508 0.0000
Sc 0.7508 0.2492 0.0000
Ta 0.2489 0.7511 0.5000
Ta 0.5000 0.5000 0.2462
Ta 0.5000 0.5000 0.7538
Ta 0.7511 0.2489 0.5000
Ni 0.0000 0.0000 0.0000
Ni 0.0000 0.0000 0.5000
Ni 0.1279 0.3794 0.3782
Ni 0.1279 0.3794 0.6218
Ni 0.1296 0.3783 0.1281
Ni 0.1296 0.3783 0.8719
Ni 0.2523 0.7477 0.2550
Ni 0.2523 0.7477 0.7450
Ni 0.3783 0.1296 0.1281
Ni 0.3783 0.1296 0.8719
Ni 0.3794 0.1279 0.3782
Ni 0.3794 0.1279 0.6218
Ni 0.5000 0.5000 0.0000
Ni 0.5000 0.5000 0.5000
Ni 0.6206 0.8721 0.3782
Ni 0.6206 0.8721 0.6218
Ni 0.6217 0.8704 0.1281
Ni 0.6217 0.8704 0.8719
Ni 0.7477 0.2523 0.2550
Ni 0.7477 0.2523 0.7450
Ni 0.8704 0.6217 0.1281
Ni 0.8704 0.6217 0.8719
Ni 0.8721 0.6206 0.3782
Ni 0.8721 0.6206 0.6218

## Properties
Its space group is Cmmm. As for the total moment: 0.0 μB per formula unit. The calculation puts the total energy at -7.011 eV per atom.

# 2
Below is a relaxed structure of Sc2TaNi, with properties calculated at the PBE level.

Lattice parameters (Å, degrees): 3.1561 4.3285 5.7095 90.00 105.65 90.00
Sites, in units of the cell vectors:
Sc 0.0000 0.0000 0.0000
Sc 0.3874 0.5000 0.6844
Ta 0.5855 0.5000 0.2346
Ni 0.9020 0.0000 0.4569

## Properties
As for the energy above the most stable polymorph in this dataset: 174 meV per atom. Its space group is Pm. As for the total moment: 0.0 μB per formula unit. The calculation puts the total energy at -7.525 eV per atom.

# 3
Below is a relaxed structure of Sc2TaNi, with properties calculated at the PBE level.

Lattice parameters (Å, degrees): 9.7809 9.7809 9.7809 17.80 17.80 17.80
Sites, in units of the cell vectors:
Sc 0.0987 0.0987 0.0987
Sc 0.9013 0.9013 0.9013
Ta 0.0000 0.0000 0.0000
Ni 0.5000 0.5000 0.5000

## Properties
As for the energy above the most stable polymorph in this dataset: 432 meV per atom. Its space group is R-3m. As for the total moment: 0.8 μB per formula unit. The calculation puts the total energy at -7.267 eV per atom.

# 4
Below is a relaxed structure of ScTa2Ni, with properties calculated at the PBE level.

Lattice parameters (Å, degrees): 5.4847 5.4847 2.8421 99.44 99.44 121.13
Sites, in units of the cell vectors:
Sc 0.0000 0.0000 0.0000
Ta 0.0000 0.5000 0.5000
Ta 0.5000 0.0000 0.5000
Ni 0.5000 0.5000 0.0000

## Properties
As for the energy above the most stable polymorph in this dataset: 195 meV per atom. Its space group is C2/m. As for the total moment: 0.0 μB per formula unit. The calculation puts the total energy at -8.823 eV per atom.

# 5
Below is a relaxed structure of ScTa2Ni, with properties calculated at the PBE level.

Lattice parameters (Å, degrees): 4.5554 4.5554 4.5554 60.00 60.00 60.00
Sites, in units of the cell vectors:
Sc 0.0000 0.0000 0.0000
Ta 0.2500 0.2500 0.2500
Ta 0.7500 0.7500 0.7500
Ni 0.5000 0.5000 0.5000

## Properties
As for the energy above the most stable polymorph in this dataset: 378 meV per atom. Its space group is Fm-3m. As for the total moment: 0.0 μB per formula unit. The calculation puts the total energy at -8.640 eV per atom.

# 6
Below is a relaxed structure of ScTa2Ni, with properties calculated at the PBE level.

Lattice parameters (Å, degrees): 5.5580 5.5580 5.5580 146.28 132.72 59.32
Sites, in units of the cell vectors:
Sc 0.0000 0.0000 0.0000
Ta 0.2673 0.7673 0.5000
Ta 0.7327 0.2327 0.5000
Ni 0.5000 0.5000 0.0000

## Properties
As for the energy above the most stable polymorph in this dataset: 9 meV per atom. Its space group is Immm. As for the total moment: 0.0 μB per formula unit. The calculation puts the total energy at -9.009 eV per atom.

# 7
Below is a relaxed structure of ScTa2Ni, with properties calculated at the PBE level.

Lattice parameters (Å, degrees): 5.2831 5.2831 5.1855 115.25 115.25 32.82
Sites, in units of the cell vectors:
Sc 0.0000 0.0000 0.0000
Ta 0.2028 0.2028 0.6369
Ta 0.4284 0.4284 0.4463
Ni 0.7244 0.7244 0.0645

## Properties
As for the energy above the most stable polymorph in this dataset: 70 meV per atom. Its space group is Cm. As for the total moment: 0.0 μB per formula unit. The calculation puts the total energy at -8.948 eV per atom.

# 8
Below is a relaxed structure of Sc2TaNi, with properties calculated at the PBE level.

Lattice parameters (Å, degrees): 4.8431 4.8431 3.1228 90.00 90.00 90.00
Sites, in units of the cell vectors:
Sc 0.0000 0.5000 0.0000
Sc 0.5000 0.0000 0.0000
Ta 0.0000 0.0000 0.5000
Ni 0.5000 0.5000 0.5000

## Properties
As for the energy above the most stable polymorph in this dataset: 220 meV per atom. Its space group is P4/mmm. As for the total moment: 0.0 μB per formula unit. The calculation puts the total energy at -7.480 eV per atom.